Record 1
This record from Alexandria via LeMat-Bulk describes a relaxed TlVRhSe2 crystal. The functional is PBE.

Geometry as CIF:
```
data_TlVRhSe2
_chemical_formula_sum 'Tl1 V1 Rh1 Se2'
_symmetry_space_group_name_H-M 'P 4/m m m'
_symmetry_Int_Tables_number 123
_symmetry_space_group_name_Hall '-P 4 2'
_cell_length_a 4.9202
_cell_length_b 4.9202
_cell_length_c 5.0943
_cell_angle_alpha 90.00
_cell_angle_beta 90.00
_cell_angle_gamma 90.00
loop_
_atom_site_label
_atom_site_fract_x
_atom_site_fract_y
_atom_site_fract_z
Tl1 0.0000 0.0000 0.0000
V1 0.5000 0.5000 0.0000
Rh1 0.0000 0.0000 0.5000
Se1 0.0000 0.5000 0.5000
```

Summary:
- Total energy: -21.75 eV per cell

=====

Record 2
This record from Alexandria via LeMat-Bulk describes a relaxed Zr2Tl3RhSe6 crystal. The functional is PBE.

Geometry as CIF:
```
data_Zr2Tl3RhSe6
_chemical_formula_sum 'Zr4 Tl6 Rh2 Se12'
_symmetry_space_group_name_H-M 'C 1 2/m 1'
_symmetry_Int_Tables_number 12
_cell_length_a 6.4382
_cell_length_b 11.1177
_cell_length_c 8.9295
_cell_angle_alpha 90.00
_cell_angle_beta 103.69
_cell_angle_gamma 90.00
loop_
_symmetry_equiv_pos_as_xyz
'x,y,z'
'-x,-y,-z'
'-x,y,-z'
'x,-y,z'
'x+1/2,y+1/2,z'
'-x+1/2,-y+1/2,-z'
'-x+1/2,y+1/2,-z'
'x+1/2,-y+1/2,z'
loop_
_atom_site_label
_atom_site_fract_x
_atom_site_fract_y
_atom_site_fract_z
Zr1 0.0000 0.1669 0.0000
Tl1 0.0000 0.0000 0.5000
Tl2 0.0000 0.3372 0.5000
Rh1 0.0000 0.5000 0.0000
Se1 0.2196 0.3408 0.1829
Se2 0.2418 0.0000 0.1825
```

Summary:
- Total energy: -123.73 eV per cell

=====

Record 3
This record from Alexandria via LeMat-Bulk describes a relaxed TmRhSe crystal. The functional is PBE.

Geometry as CIF:
```
data_TmRhSe
_chemical_formula_sum 'Tm4 Rh4 Se4'
_symmetry_space_group_name_H-M 'P 42/m'
_symmetry_Int_Tables_number 84
_cell_length_a 7.8328
_cell_length_b 7.8328
_cell_length_c 4.4557
_cell_angle_alpha 90.00
_cell_angle_beta 90.00
_cell_angle_gamma 90.00
loop_
_symmetry_equiv_pos_as_xyz
'x,y,z'
'-x,-y,-z'
'-y,x,z+1/2'
'y,-x,-z+1/2'
'-x,-y,z'
'x,y,-z'
'y,-x,z+1/2'
'-y,x,-z+1/2'
loop_
_atom_site_label
_atom_site_fract_x
_atom_site_fract_y
_atom_site_fract_z
Tm1 0.1098 0.7098 0.0000
Rh1 0.2298 0.3499 0.0000
Se1 0.1997 0.4823 0.5000
```

Summary:
- Total energy: -70.21 eV per cell

=====

Record 4
This record from Alexandria via LeMat-Bulk describes a relaxed Tm4RhSe3 crystal. The functional is PBE.

Geometry as CIF:
```
data_Tm4RhSe3
_chemical_formula_sum 'Tm8 Rh2 Se6'
_symmetry_space_group_name_H-M 'C m m m'
_symmetry_Int_Tables_number 65
_symmetry_space_group_name_Hall '-C 2 2'
_cell_length_a 8.2977
_cell_length_b 11.5005
_cell_length_c 3.9467
_cell_angle_alpha 90.00
_cell_angle_beta 90.00
_cell_angle_gamma 90.00
loop_
_atom_site_label
_atom_site_fract_x
_atom_site_fract_y
_atom_site_fract_z
Tm1 0.0000 0.2381 0.0000
Tm2 0.2259 0.0000 0.5000
Rh1 0.0000 0.0000 0.0000
Se1 0.0000 0.5000 0.0000
Se2 0.2500 0.2500 0.5000
```

Summary:
- Total energy: -94.86 eV per cell

=====

Record 5
This record from Alexandria via LeMat-Bulk describes a relaxed TmRhSe crystal. The functional is PBE.

Geometry as CIF:
```
data_TmRhSe
_chemical_formula_sum 'Tm1 Rh1 Se1'
_symmetry_space_group_name_H-M 'P 3 m 1'
_symmetry_Int_Tables_number 156
_cell_length_a 4.2880
_cell_length_b 4.2880
_cell_length_c 3.5939
_cell_angle_alpha 90.00
_cell_angle_beta 90.00
_cell_angle_gamma 120.00
loop_
_symmetry_equiv_pos_as_xyz
'x,y,z'
'-y,x-y,z'
'-x+y,-x,z'
'-y,-x,z'
'-x+y,y,z'
'x,x-y,z'
loop_
_atom_site_label
_atom_site_fract_x
_atom_site_fract_y
_atom_site_fract_z
Tm1 0.0000 0.0000 0.0000
Rh1 0.3333 0.6667 0.4815
Se1 0.6667 0.3333 0.5144
```

Summary:
- Total energy: -18.67 eV per cell

=====

Record 6
This record from Alexandria via LeMat-Bulk describes a relaxed URhSe4 crystal. The functional is PBE.

Geometry as CIF:
```
data_URhSe4
_chemical_formula_sum 'U2 Rh2 Se8'
_symmetry_space_group_name_H-M 'P 1 21/c 1'
_symmetry_Int_Tables_number 14
_cell_length_a 6.7770
_cell_length_b 6.4395
_cell_length_c 6.4278
_cell_angle_alpha 90.00
_cell_angle_beta 98.73
_cell_angle_gamma 90.00
loop_
_symmetry_equiv_pos_as_xyz
'x,y,z'
'-x,-y,-z'
'-x,y+1/2,-z+1/2'
'x,-y+1/2,z+1/2'
loop_
_atom_site_label
_atom_site_fract_x
_atom_site_fract_y
_atom_site_fract_z
U1 0.0000 0.0000 0.0000
Rh1 0.5000 0.0000 0.5000
Se1 0.1918 0.1732 0.3699
Se2 0.3156 0.7090 0.2620
```

Summary:
- Total energy: -72.47 eV per cell